# 1
A geometry-optimized TmScAl2Au4 structure, computed with GGA-PBE.

abc: 8.364 8.364 8.364
angles: 32.43 32.43 32.43
Atoms (fractional coordinates):
Tm: 0.000 0.000 0.000
Sc: 0.500 0.500 0.500
Al: 0.247 0.247 0.247
Al: 0.753 0.753 0.753
Au: 0.126 0.126 0.126
Au: 0.382 0.382 0.382
Au: 0.618 0.618 0.618
Au: 0.874 0.874 0.874

Final energy in eV per atom: -4.63
V in Å³/cell: 150
Formation energy in eV/f.u.: -5.7

=====

# 2
A geometry-optimized Sm6FeNi2I3 structure, computed with GGA-PBE.

abc: 7.015 7.015 8.346
angles: 98.05 98.05 120.00
Atoms (fractional coordinates):
Sm: 0.061 0.383 0.183
Sm: 0.261 0.261 0.817
Sm: 0.383 0.061 0.183
Sm: 0.617 0.939 0.817
Sm: 0.739 0.739 0.183
Sm: 0.939 0.617 0.817
Fe: 0.000 0.000 0.000
Ni: 0.333 0.667 0.000
Ni: 0.667 0.333 0.000
I: 0.166 0.834 0.500
I: 0.500 0.500 0.500
I: 0.834 0.166 0.500

Final energy in eV per atom: -5.01
V in Å³/cell: 341
Uncorrected formation energy in kJ/mol of formula units: -688.0

=====

# 3
A geometry-optimized TmHfTh2 structure, computed with GGA-PBE.

abc: 4.924 4.924 4.792
angles: 90.00 90.00 90.00
Atoms (fractional coordinates):
Tm: 0.000 0.000 0.000
Hf: 0.500 0.500 0.000
Th: 0.000 0.500 0.500
Th: 0.500 0.000 0.500

Final energy in eV per atom: -7.20
V in Å³/cell: 116
Formation energy in eV/f.u.: 0.5

=====

# 4
A geometry-optimized CdMo2Au structure, computed with GGA-PBE.

abc: 4.871 2.840 5.221
angles: 90.00 107.76 90.00
Atoms (fractional coordinates):
Cd: 0.000 0.000 0.000
Mo: 0.000 0.500 0.500
Mo: 0.500 0.000 0.500
Au: 0.500 0.500 0.000

Final energy in eV per atom: -6.08
V in Å³/cell: 69
Formation energy in eV/f.u.: 1.5

=====

Question: Among the records above, which one has the lowest V?
Answer: CdMo2Au

=====

Question: V of number 3 (TmHfTh2)?
Answer: 116 Å³/cell

=====

Question: What is the final energy in the second record?
Answer: -5.01 eV per atom